# 1
Below is crystalline Mo4AuSN2 at its relaxed geometry, with properties calculated at the PBE level.

The space group is P-6m2 (No. 187) and the conventional cell measures 2.9291, 2.9291 and 13.9157 Å, with angles of 90.00, 90.00 and 120.00 degrees. The distinct sites, in fractional coordinates, are Mo at (0.0000, 0.0000, 0.1324), Mo at (0.3333, 0.6667, 0.3277), Au at (0.0000, 0.0000, 0.5000), S at (0.3333, 0.6667, 0.0000) and N at (0.6667, 0.3333, 0.2333).

The final energy is -8.428 eV/atom.

# 2
Below is crystalline BaLaOs at its relaxed geometry, with properties calculated at the PBE level.

The space group is F-43m (No. 216) and the conventional cell measures 7.214, 7.214 and 7.214 Å, with angles of 90.00, 90.00 and 90.00 degrees. The distinct sites, in fractional coordinates, are Ba at (0.000, 0.000, 0.000), La at (0.000, 0.000, 0.500) and Os at (0.250, 0.250, 0.250).

As for the energy above the most stable polymorph in this dataset: 0 meV per atom.

# 3
Below is crystalline Na3Fe at its relaxed geometry, with properties calculated at the PBE level.

The space group is P4/mbm (No. 127) and the conventional cell measures 11.470, 11.470 and 2.771 Å, with angles of 90.00, 90.00 and 90.00 degrees. The distinct sites, in fractional coordinates, are Na at (0.088, 0.412, 0.000), Na at (0.111, 0.156, 0.000) and Fe at (0.149, 0.649, 0.500).

The final energy is -2.377 eV/atom.

# 4
Below is crystalline HgTeO3 at its relaxed geometry, with properties calculated at the PBE level.

The space group is P4mm (No. 99) and the conventional cell measures 3.533, 3.533 and 5.758 Å, with angles of 90.00, 90.00 and 90.00 degrees. The distinct sites, in fractional coordinates, are Hg at (0.000, 0.000, 0.000), Te at (0.500, 0.500, 0.472), O at (0.000, 0.000, 0.646) and O at (0.000, 0.500, 0.281).

The final energy is -4.129 eV/atom.

# 5
Below is crystalline Dy4SnSbC2 at its relaxed geometry, with properties calculated at the PBE level.

The space group is P-6m2 (No. 187) and the conventional cell measures 3.6280, 3.6280 and 15.6065 Å, with angles of 90.00, 90.00 and 120.00 degrees. The distinct sites, in fractional coordinates, are Dy at (0.0000, 0.0000, 0.1607), Dy at (0.6667, 0.3333, 0.3325), Sn at (0.0000, 0.0000, 0.5000), Sb at (0.6667, 0.3333, 0.0000) and C at (0.3333, 0.6667, 0.2455).

The final energy is -6.216 eV/atom.

# 6
Below is crystalline YHoAs at its relaxed geometry, with properties calculated at the PBE level.

The space group is F-43m (No. 216) and the conventional cell measures 6.794, 6.794 and 6.794 Å, with angles of 90.00, 90.00 and 90.00 degrees. The distinct sites, in fractional coordinates, are Y at (0.000, 0.000, 0.000), Ho at (0.000, 0.000, 0.500) and As at (0.250, 0.250, 0.750).

The final energy is -5.990 eV/atom.

# 7
Below is crystalline Ho3P2N at its relaxed geometry, with properties calculated at the PBE level.

The space group is P-3m1 (No. 164) and the conventional cell measures 3.7690, 3.7690 and 9.4643 Å, with angles of 90.00, 90.00 and 120.00 degrees. The distinct sites, in fractional coordinates, are Ho at (0.0000, 0.0000, 0.0000), Ho at (0.3333, 0.6667, 0.3592), P at (0.3333, 0.6667, 0.8215) and N at (0.0000, 0.0000, 0.5000).

The final energy is -6.999 eV/atom.

# 8
Below is crystalline Sc8Ag2Os at its relaxed geometry, with properties calculated at the PBE level.

The space group is C2/m (No. 12) and the conventional cell measures 15.979, 4.860 and 6.483 Å, with angles of 90.00, 109.80 and 90.00 degrees. The distinct sites, in fractional coordinates, are Sc at (0.025, 0.000, 0.296), Sc at (0.095, 0.500, 0.931), Sc at (0.161, 0.500, 0.458), Sc at (0.192, 0.000, 0.784), Ag at (0.182, 0.000, 0.196) and Os at (0.000, 0.500, 0.500).

As for the energy of formation: -0.244 eV/atom.

# 9
Below is crystalline Hf2Al at its relaxed geometry, with properties calculated at the PBE level.

The space group is Fm-3m (No. 225) and the conventional cell measures 6.482, 6.482 and 6.482 Å, with angles of 90.00, 90.00 and 90.00 degrees. The distinct sites, in fractional coordinates, are Hf at (0.250, 0.250, 0.250) and Al at (0.000, 0.000, 0.000).

The final energy is -7.683 eV/atom.

# 10
Below is crystalline KTmO3 at its relaxed geometry, with properties calculated at the PBE level.

The space group is P4mm (No. 99) and the conventional cell measures 4.332, 4.332 and 4.344 Å, with angles of 90.00, 90.00 and 90.00 degrees. The distinct sites, in fractional coordinates, are K at (0.000, 0.000, 0.000), Tm at (0.500, 0.500, 0.498), O at (0.000, 0.500, 0.506) and O at (0.500, 0.500, 0.998).

The final energy is -6.017 eV/atom.

# 11
Below is crystalline Ho2TlNiAg at its relaxed geometry, with properties calculated at the PBE level.

The space group is Amm2 (No. 38) and the conventional cell measures 3.666, 4.165 and 14.662 Å, with angles of 90.00, 90.00 and 90.00 degrees. The distinct sites, in fractional coordinates, are Ho at (0.000, 0.000, 0.000), Ho at (0.000, 0.000, 0.265), Tl at (0.500, 0.000, 0.638), Ni at (0.500, 0.000, 0.827) and Ag at (0.500, 0.000, 0.433).

The final energy is -4.331 eV/atom.

# 12
Below is crystalline CuCl2 at its relaxed geometry, with properties calculated at the PBE level.

The space group is P4_2/mnm (No. 136) and the conventional cell measures 6.084, 6.084 and 3.408 Å, with angles of 90.00, 90.00 and 90.00 degrees. The distinct sites, in fractional coordinates, are Cu at (0.000, 0.000, 0.000) and Cl at (0.180, 0.180, 0.500).

The final energy is -2.910 eV/atom.

# 13
Below is crystalline Tm3Zn2GaCuAu2 at its relaxed geometry, with properties calculated at the PBE level.

The space group is Amm2 (No. 38) and the conventional cell measures 3.830, 12.656 and 7.297 Å, with angles of 90.00, 90.00 and 90.00 degrees. The distinct sites, in fractional coordinates, are Tm at (0.000, 0.000, 0.000), Tm at (0.000, 0.202, 0.397), Zn at (0.500, 0.120, 0.719), Ga at (0.500, 0.000, 0.363), Cu at (0.000, 0.000, 0.597) and Au at (0.500, 0.167, 0.099).

The final energy is -3.882 eV/atom.

# 14
Below is crystalline AcPrPO at its relaxed geometry, with properties calculated at the PBE level.

The space group is Pmc2_1 (No. 26) and the conventional cell measures 4.368, 8.309 and 5.943 Å, with angles of 90.00, 90.00 and 90.00 degrees. The distinct sites, in fractional coordinates, are Ac at (0.000, 0.123, 0.000), Pr at (0.500, 0.310, 0.464), P at (0.500, 0.351, 0.962) and O at (0.000, 0.181, 0.417).

As for the energy above the most stable polymorph in this dataset: 46 meV per atom.

# 15
Below is crystalline MgFeNiTe3 at its relaxed geometry, with properties calculated at the PBE level.

The space group is Cmcm (No. 63) and the conventional cell measures 3.769, 12.887 and 10.205 Å, with angles of 90.00, 90.00 and 90.00 degrees. The distinct sites, in fractional coordinates, are Mg at (0.000, 0.220, 0.250), Fe at (0.000, 0.000, 0.000), Ni at (0.000, 0.438, 0.750), Te at (0.000, 0.072, 0.750) and Te at (0.000, 0.365, 0.527).

As for the energy above the most stable polymorph in this dataset: 0 meV per atom.

# 16
Below is crystalline NaDyZnSe3 at its relaxed geometry, with properties calculated at the PBE level.

The space group is P2_1/m (No. 11) and the conventional cell measures 8.274, 4.072 and 9.807 Å, with angles of 90.00, 104.94 and 90.00 degrees. The distinct sites, in fractional coordinates, are Na at (0.208, 0.250, 0.221), Dy at (0.323, 0.750, 0.855), Zn at (0.082, 0.250, 0.603), Se at (0.077, 0.250, 0.851), Se at (0.226, 0.750, 0.538) and Se at (0.440, 0.750, 0.155).

As for the energy above the most stable polymorph in this dataset: 7 meV per atom.

# 17
Below is crystalline LuGe2Te at its relaxed geometry, with properties calculated at the PBE level.

The space group is F-43m (No. 216) and the conventional cell measures 7.225, 7.225 and 7.225 Å, with angles of 90.00, 90.00 and 90.00 degrees. The distinct sites, in fractional coordinates, are Lu at (0.000, 0.000, 0.000), Ge at (0.000, 0.000, 0.500), Ge at (0.250, 0.250, 0.250) and Te at (0.250, 0.250, 0.750).

The final energy is -4.377 eV/atom.

# 18
Below is crystalline SrY2Ga2Ni4 at its relaxed geometry, with properties calculated at the PBE level.

The space group is C2/m (No. 12) and the conventional cell measures 10.304, 4.113 and 8.107 Å, with angles of 90.00, 98.94 and 90.00 degrees. The distinct sites, in fractional coordinates, are Sr at (0.000, 0.000, 0.000), Y at (0.123, 0.500, 0.384), Ga at (0.182, 0.500, 0.775), Ni at (0.089, 0.000, 0.625) and Ni at (0.240, 0.500, 0.089).

The final energy is -5.254 eV/atom.

# 19
Below is crystalline AcUHg at its relaxed geometry, with properties calculated at the PBE level.

The space group is F-43m (No. 216) and the conventional cell measures 7.613, 7.613 and 7.613 Å, with angles of 90.00, 90.00 and 90.00 degrees. The distinct sites, in fractional coordinates, are Ac at (0.000, 0.000, 0.000), U at (0.000, 0.000, 0.500) and Hg at (0.250, 0.250, 0.250).

As for the energy of formation: 0.639 eV/atom. As for the energy above the most stable polymorph in this dataset: 0 meV per atom.

# 20
Below is crystalline Ho2TmTl3CuAg2 at its relaxed geometry, with properties calculated at the PBE level.

The space group is Amm2 (No. 38) and the conventional cell measures 3.832, 13.638 and 7.880 Å, with angles of 90.00, 90.00 and 90.00 degrees. The distinct sites, in fractional coordinates, are Ho at (0.000, 0.198, 0.000), Tm at (0.000, 0.000, 0.594), Tl at (0.500, 0.000, 0.940), Tl at (0.500, 0.130, 0.328), Cu at (0.000, 0.000, 0.199) and Ag at (0.500, 0.166, 0.698).

The final energy is -3.625 eV/atom.

# 21
Below is crystalline GdScSn at its relaxed geometry, with properties calculated at the PBE level.

The space group is F-43m (No. 216) and the conventional cell measures 7.091, 7.091 and 7.091 Å, with angles of 90.00, 90.00 and 90.00 degrees. The distinct sites, in fractional coordinates, are Gd at (0.000, 0.000, 0.000), Sc at (0.000, 0.000, 0.500) and Sn at (0.250, 0.250, 0.250).

As for the energy above the most stable polymorph in this dataset: 0 meV per atom.

# 22
Below is crystalline InTcNiAg at its relaxed geometry, with properties calculated at the PBE level.

The space group is F-43m (No. 216) and the conventional cell measures 6.370, 6.370 and 6.370 Å, with angles of 90.00, 90.00 and 90.00 degrees. The distinct sites, in fractional coordinates, are In at (0.000, 0.000, 0.000), Tc at (0.250, 0.250, 0.750), Ni at (0.250, 0.250, 0.250) and Ag at (0.000, 0.000, 0.500).

The final energy is -4.970 eV/atom.

# 23
Below is crystalline NdSnTe3Au at its relaxed geometry, with properties calculated at the PBE level.

The space group is Pnma (No. 62) and the conventional cell measures 9.138, 4.413 and 18.720 Å, with angles of 90.00, 90.00 and 90.00 degrees. The distinct sites, in fractional coordinates, are Nd at (0.206, 0.250, 0.046), Sn at (0.068, 0.250, 0.783), Te at (0.075, 0.250, 0.615), Te at (0.142, 0.750, 0.926), Te at (0.160, 0.250, 0.216) and Au at (0.058, 0.250, 0.451).

As for the energy above the most stable polymorph in this dataset: 19 meV per atom.

# 24
Below is crystalline Ba2YTcN6 at its relaxed geometry, with properties calculated at the PBE level.

The space group is R3 (No. 146, hexagonal axes) and the conventional cell measures 5.8942, 5.8942 and 15.3847 Å, with angles of 90.00, 90.00 and 120.00 degrees. The distinct sites, in fractional coordinates, are Ba at (0.0000, 0.0000, 0.0000), Ba at (0.0000, 0.0000, 0.4878), Y at (0.0000, 0.0000, 0.2413), Tc at (0.0000, 0.0000, 0.7676), N at (0.0086, 0.5000, 0.4817) and N at (0.2117, 0.7855, 0.3181).

As for the energy above the most stable polymorph in this dataset: 0 meV per atom.

# 25
Below is crystalline SmGa2Pt2 at its relaxed geometry, with properties calculated at the PBE level.

The space group is I4/mmm (No. 139) and the conventional cell measures 4.164, 4.164 and 11.200 Å, with angles of 90.00, 90.00 and 90.00 degrees. The distinct sites, in fractional coordinates, are Sm at (0.000, 0.000, 0.000), Ga at (0.000, 0.500, 0.250) and Pt at (0.000, 0.000, 0.381).

The final energy is -5.498 eV/atom.